Here is crystalline LaTcOs2 at its relaxed geometry from the Alexandria database. Energies are from PBE.

Values from the calculation:
energy of formation from the pure elements	0.690	eV per atom
energy above the most stable polymorph in this dataset	398	meV/atom

```
data_LaTcOs2
_chemical_formula_sum 'La2 Tc2 Os4'
_cell_length_a 4.410
_cell_length_b 4.410
_cell_length_c 7.221
_cell_angle_alpha 90.00
_cell_angle_beta 90.00
_cell_angle_gamma 90.00
_space_group_name_H-M_alt 'I -4 m 2'
_space_group_IT_number 119
_space_group_name_Hall 'I -4 -2'
loop_
_atom_site_label
_atom_site_fract_x
_atom_site_fract_y
_atom_site_fract_z
La1 0.000 0.000 0.000
Tc1 0.000 0.500 0.250
Os1 0.000 0.000 0.500
Os2 0.000 0.500 0.750
```

=====

Here is crystalline SmTmSb2O8 at its relaxed geometry from the Alexandria database. Energies are from PBE.

Values from the calculation:
DFT total energy	-7.0932	eV/atom

```
data_SmTmSb2O8
_chemical_formula_sum 'Sm2 Tm2 Sb4 O16'
_cell_length_a 5.274
_cell_length_b 5.274
_cell_length_c 11.257
_cell_angle_alpha 90.00
_cell_angle_beta 90.00
_cell_angle_gamma 90.00
_space_group_name_H-M_alt 'I -4'
_space_group_IT_number 82
_space_group_name_Hall 'I -4'
loop_
_atom_site_label
_atom_site_fract_x
_atom_site_fract_y
_atom_site_fract_z
Sm1 0.000 0.000 0.000
Tm1 0.000 0.500 0.750
Sb1 0.000 0.000 0.500
Sb2 0.000 0.500 0.250
O1 0.176 0.254 0.591
O2 0.187 0.753 0.163
```

=====

Here is crystalline Te2SIN at its relaxed geometry from the Alexandria database. Energies are from PBE.

Values from the calculation:
energy above the most stable polymorph in this dataset	215	meV/atom

```
data_Te2SIN
_chemical_formula_sum 'Te2 S1 I1 N1'
_cell_length_a 4.907
_cell_length_b 4.907
_cell_length_c 4.723
_cell_angle_alpha 90.00
_cell_angle_beta 90.00
_cell_angle_gamma 90.00
_space_group_name_H-M_alt 'P 4/m m m'
_space_group_IT_number 123
_space_group_name_Hall '-P 4 2'
loop_
_atom_site_label
_atom_site_fract_x
_atom_site_fract_y
_atom_site_fract_z
Te1 0.000 0.500 0.000
S1 0.000 0.000 0.500
I1 0.500 0.500 0.500
N1 0.500 0.500 0.000
```

=====

Here is crystalline AcDy5Ho2 at its relaxed geometry from the Alexandria database. Energies are from PBE.

Values from the calculation:
energy of formation from the pure elements	0.038	eV per atom

```
data_AcDy5Ho2
_chemical_formula_sum 'Ac4 Dy20 Ho8'
_cell_length_a 7.195
_cell_length_b 20.210
_cell_length_c 7.194
_cell_angle_alpha 90.00
_cell_angle_beta 90.00
_cell_angle_gamma 90.00
_space_group_name_H-M_alt 'P b a m'
_space_group_IT_number 55
_space_group_name_Hall '-P 2 2ab'
loop_
_atom_site_label
_atom_site_fract_x
_atom_site_fract_y
_atom_site_fract_z
Ac1 0.250 0.125 0.000
Dy1 0.000 0.000 0.257
Dy2 0.000 0.250 0.256
Dy3 0.250 0.375 0.000
Dy4 0.250 0.375 0.500
Ho1 0.000 0.500 0.257
Ho2 0.250 0.125 0.500
```